# 1
Entry from Alexandria: a relaxed structure of CeNd5Hg4 (PBE-GGA).

Cell: 3.7800 3.7800 20.2619 Å, 90.00 90.00 90.00°
Space group P4/mmm (No. 123)
One atom of each set of equivalent atoms:
Ce  0.0000  0.0000  0.0000 x1
Nd  0.5000  0.5000  0.1130 x2
Nd  0.5000  0.5000  0.3073 x2
Nd  0.5000  0.5000  0.5000 x1
Hg  0.0000  0.0000  0.2080 x2
Hg  0.0000  0.0000  0.4043 x2

* size of the total moment: 1.49 Bohr magnetons per cell
* E: -3.4533 eV/atom

***

# 2
Entry from Alexandria: a relaxed structure of Ce2NdHg6 (PBE-GGA).

Cell: 8.7969 8.7969 3.4267 Å, 90.00 90.00 120.00°
Space group P6/mmm (No. 191)
One atom of each set of equivalent atoms:
Ce  0.3333  0.6667  0.0000 x2
Nd  0.0000  0.0000  0.0000 x1
Hg  0.0000  0.3333  0.5000 x6

* size of the total moment: 2.65 Bohr magnetons per cell
* E: -2.4347 eV/atom

***

# 3
Entry from Alexandria: a relaxed structure of CeNdHg3 (PBE-GGA).

Cell: 8.0023 12.3845 6.0106 Å, 90.00 90.00 90.00°
Space group Cmcm (No. 63)
One atom of each set of equivalent atoms:
Ce  0.0000  0.0000  0.0000 x4
Nd  0.0000  0.3319  0.2500 x4
Hg  0.0000  0.2179  0.7500 x4
Hg  0.1829  0.4246  0.7500 x8

* size of the total moment: 5.06 Bohr magnetons per cell
* E: -2.4701 eV/atom
* E above lowest polymorph: 0.218 eV per atom

***

# 4
Entry from Alexandria: a relaxed structure of Ce3NdHg4 (PBE-GGA).

Cell: 3.8198 3.8198 15.3937 Å, 90.00 90.00 90.00°
Space group P4/mmm (No. 123)
One atom of each set of equivalent atoms:
Ce  0.0000  0.0000  0.0000 x1
Ce  0.0000  0.0000  0.2493 x2
Nd  0.0000  0.0000  0.5000 x1
Hg  0.5000  0.5000  0.1250 x2
Hg  0.5000  0.5000  0.3749 x2

* size of the total moment: 4.44 Bohr magnetons per cell
* E: -3.3030 eV/atom

***

# 5
Entry from Alexandria: a relaxed structure of CeNd4Hg3 (PBE-GGA).

Cell: 3.6894 5.5386 11.2402 Å, 90.00 90.00 90.00°
Space group Pmmm (No. 47)
One atom of each set of equivalent atoms:
Ce  0.0000  0.0000  0.0000 x1
Nd  0.5000  0.0000  0.2592 x2
Nd  0.5000  0.5000  0.0000 x1
Nd  0.5000  0.5000  0.5000 x1
Hg  0.0000  0.0000  0.5000 x1
Hg  0.0000  0.5000  0.2443 x2

* size of the total moment: 0.86 Bohr magnetons per cell
* E: -3.5370 eV/atom

***

# 6
Entry from Alexandria: a relaxed structure of CeNd2Hg8 (PBE-GGA).

Cell: 16.2288 5.1126 7.3589 Å, 90.00 110.25 90.00°
Space group C2/m (No. 12)
One atom of each set of equivalent atoms:
Ce  0.0000  0.0000  0.0000 x2
Nd  0.2078  0.5000  0.6497 x4
Hg  0.0200  0.5000  0.7274 x4
Hg  0.0935  0.0000  0.4584 x4
Hg  0.1517  0.5000  0.1683 x4
Hg  0.1726  0.0000  0.9001 x4

* size of the total moment: 2.17 Bohr magnetons per cell
* E: -1.9559 eV/atom
* E above lowest polymorph: 0.000 eV per atom

***

# 7
Entry from Alexandria: a relaxed structure of Ce5NdHg6 (PBE-GGA).

Cell: 16.9775 7.7772 5.3789 Å, 90.00 108.36 90.00°
Space group C2/m (No. 12)
One atom of each set of equivalent atoms:
Ce  0.0000  0.0000  0.0000 x2
Ce  0.1560  0.0000  0.6541 x4
Ce  0.1739  0.5000  0.6719 x4
Nd  0.0000  0.5000  0.0000 x2
Hg  0.0000  0.2688  0.5000 x4
Hg  0.1681  0.2594  0.1659 x8

* size of the total moment: 6.25 Bohr magnetons per cell
* E: -3.3265 eV/atom

***

# 8
Entry from Alexandria: a relaxed structure of Ce3NdHg6 (PBE-GGA).

Cell: 9.6254 5.1987 11.2312 Å, 90.00 104.91 90.00°
Space group P2_1/m (No. 11)
One atom of each set of equivalent atoms:
Ce  0.0182  0.2500  0.3833 x2
Ce  0.1438  0.7500  0.2168 x2
Ce  0.2695  0.2500  0.9901 x2
Nd  0.4446  0.2500  0.6119 x2
Hg  0.0370  0.7500  0.9183 x2
Hg  0.1611  0.2500  0.6980 x2
Hg  0.2579  0.7500  0.5037 x2
Hg  0.3432  0.2500  0.3056 x2
Hg  0.3596  0.7500  0.8064 x2
Hg  0.4352  0.7500  0.1020 x2

* size of the total moment: 7.04 Bohr magnetons per cell
* E: -2.7647 eV/atom